Record 1
CrPSeBr2: relaxed, GGA-PBE.

a = 4.8967 Å, b = 4.8967 Å, c = 4.7142 Å
α = 90.00°, β = 90.00°, γ = 90.00°
Site moments in Bohr magnetons follow the coordinates.
Fractional positions:
Cr  0.0000  0.0000  0.0000  -0.07
Se  0.0000  0.0000  0.5000  0.01
Br  0.0000  0.5000  0.0000  0.00
Br  0.5000  0.0000  0.0000  0.00
P  0.5000  0.5000  0.5000  0.15

Computed properties:
Polymorph energy (0 for the lowest one) = 209 meV/atom

Record 2
TiCrP2Br: relaxed, GGA-PBE.

a = 4.8404 Å, b = 4.5416 Å, c = 4.8404 Å
α = 90.00°, β = 90.00°, γ = 90.00°
Site moments in Bohr magnetons follow the coordinates.
Fractional positions:
Cr  0.5000  0.5000  0.5000  -0.30
P  0.0000  0.0000  0.5000  -0.01
P  0.5000  0.0000  0.0000  -0.02
Br  0.0000  0.0000  0.0000  0.01
Ti  0.0000  0.5000  0.0000  1.13

Short version: formation energy without anion corrections = 0.6571; 1.7418 eV/atom, in the order given.